First-principles (GGA-PBE) data for Rb2PrPuO4 after structural relaxation, as listed in Alexandria.

Cell lengths 6.3335, 3.6562, 6.9261 Å; angles 90.00, 107.76, 90.00 degrees
Space group P2/m (No. 10)
Unique sites:
Rb: 0.0000 0.0000 0.0000 x1
Rb: 0.5000 0.5000 0.0000 x1
Pr: 0.0000 0.5000 0.5000 x1
Pu: 0.5000 0.0000 0.5000 x1
O: 0.2336 0.0000 0.6815 x2
O: 0.2830 0.5000 0.3230 x2

Calculated values
- Calculated density: 6.739 g/cm³
- Total energy: -60.2 eV/cell
- Energy relative to the elements, uncorrected: -19.3 eV/f.u.